## Y2MgCd6 (PBE-GGA)

Data for a relaxed structure of Y2MgCd6.

abc: 8.6376 8.6376 3.3421
angles: 90.00 90.00 120.00
Space group P6/mmm (No. 191)
Inequivalent atoms, fractional coordinates:
Y1 0.3333 0.6667 0.0000
Mg1 0.0000 0.0000 0.0000
Cd1 0.0000 0.3298 0.5000

Values from the calculation:
Volume = 215.94 Å³ per cell
Polymorph energy (0 for the lowest one) = 0.0 meV/atom
Theoretical density = 6.74 g cm⁻³
Energy of formation from the pure elements = -0.24 eV/atom